(1)
The following is a DFT calculation (PBE-GGA) of crystalline LuNpRh2 at its relaxed geometry.

Geometry as extended XYZ:
```
4
Lattice="-2.242 2.420 0.555 -2.122 -2.734 3.351 2.877 1.894 3.367" Properties=species:S:1:pos:R:3 pbc="T T T"
Rh -1.061 -1.367 1.675
Lu -0.743 0.790 3.636
Rh 1.439 0.947 1.684
Np -1.121 1.210 0.277
```

DFT total energy in Ry per atom: -0.63378
Space group: P4/mmm, No. 123
Volume in Å³/cell: 78
Offset from the most stable computed form in eV per atom: 0.000
Energy of formation from the pure elements in meV/atom: -582



(2)
The following is a DFT calculation (PBE-GGA) of crystalline LuNpRu2 at its relaxed geometry.

Geometry as extended XYZ:
```
4
Lattice="-1.903 3.920 -2.209 -4.518 1.033 0.274 -1.646 3.756 2.652" Properties=species:S:1:pos:R:3 pbc="T T T"
Lu -6.050 6.532 0.537
Ru -4.196 4.293 0.366
Np -2.017 2.177 0.179
Ru -4.355 1.095 0.266
```

DFT total energy in Ry per atom: -0.68250
Space group: C2/m, No. 12
Volume in Å³/cell: 76
Energy of formation from the pure elements in meV/atom: -282



(3)
The following is a DFT calculation (PBE-GGA) of crystalline LuNpRu2 at its relaxed geometry.

Geometry as extended XYZ:
```
4
Lattice="-0.476 3.183 -0.883 -3.296 -0.397 0.346 0.456 1.871 6.496" Properties=species:S:1:pos:R:3 pbc="T T T"
Ru 0.335 1.375 4.776
Ru 0.121 0.495 1.720
Np -1.658 2.328 2.979
Lu -1.886 1.393 -0.269
```

DFT total energy in Ry per atom: -0.68381
Space group: P4/mmm, No. 123
Volume in Å³/cell: 75
Energy of formation from the pure elements in meV/atom: -300



(4)
The following is a DFT calculation (PBE-GGA) of crystalline LuNpTcRu at its relaxed geometry.

Geometry as extended XYZ:
```
4
Lattice="4.736 0.000 0.000 2.368 4.102 0.000 2.368 1.367 3.867" Properties=species:S:1:pos:R:3 pbc="T T T"
Ru 7.104 4.102 2.900
Np 4.736 2.734 1.934
Tc 2.368 1.367 0.967
Lu 0.000 0.000 0.000
```

DFT total energy in Ry per atom: -0.69149
Space group: F-43m, No. 216
Volume in Å³/cell: 75
Energy of formation from the pure elements in meV/atom: -132